RbN2ClF | Alexandria | PBE | relaxed; calculated total energy = -3.3013 eV/atom; crystal system = tetragonal; DOS at the Fermi energy = 3.7 states/eV/f.u.; total moment = 0.207 μB/atom
1.0
3.7729 0.0000 0.0000
0.0000 3.7729 0.0000
0.0000 0.0000 6.2907
F Cl N Rb
1 1 2 1
direct
0.0000 0.0000 0.5000
0.0000 0.0000 0.0000
0.0000 0.5000 0.0000
0.5000 0.0000 0.0000
0.5000 0.5000 0.5000

Tm3TiAg3Te8 | Alexandria | PBE | relaxed; calculated total energy = -4.4170 eV/atom; crystal system = monoclinic; DOS at the Fermi energy = 1.7 states/eV/f.u.; total moment = 0.006 μB/atom
1.0
8.5126 0.0000 0.0000
-4.2563 7.3722 -0.0324
0.0000 -4.8949 7.2009
Te Tm Ag Ti
8 3 3 1
direct
0.2485 0.4970 0.2460
0.7515 0.5030 0.7540
0.7654 0.9990 0.2650
0.2346 0.0010 0.7350
0.7654 0.5308 0.2650
0.2346 0.4692 0.7350
0.2335 0.9990 0.2650
0.7665 0.0010 0.7350
0.0000 0.5000 0.5000
0.5000 0.5000 0.5000
0.5000 0.0000 0.5000
0.0000 0.5000 0.0000
0.0000 0.0000 0.0000
0.5000 0.5000 0.0000
0.0000 0.0000 0.5000

Nb2Co2Hg | Alexandria | PBE | relaxed; calculated total energy = -6.9648 eV/atom; crystal system = tetragonal; ΔE_f = -0.034 eV/atom; DOS at the Fermi energy = 2.3 states/eV/f.u.; total moment = 0.000 μB/atom
1.0
-4.3261 5.4952 -1.3017
-4.6736 -4.4043 -3.0605
-1.3599 -0.4315 2.6976
Co Hg Nb
4 2 4
direct
0.1262 0.3738 0.0000
0.3738 0.8738 0.0000
0.6262 0.1262 0.0000
0.8738 0.6262 0.0000
0.0000 0.0000 0.0000
0.5000 0.5000 0.0000
0.3326 0.1674 0.5000
0.6674 0.8326 0.5000
0.8326 0.3326 0.5000
0.1674 0.6674 0.5000

NaBi2PPd | Alexandria | PBE | relaxed; calculated total energy = -3.8164 eV/atom; crystal system = tetragonal; ΔE_f = 0.120 eV/atom; DOS at the Fermi energy = 4.0 states/eV/f.u.; total moment = 0.000 μB/atom
1.0
-3.9454 4.1379 0.3175
-0.7701 -0.4020 -4.3305
-4.0281 -3.9237 1.0805
P Na Pd Bi
1 1 1 2
direct
0.0000 0.5000 0.0000
0.5000 0.5000 0.5000
0.0000 0.0000 0.0000
0.0000 0.0000 0.5000
0.5000 0.0000 0.0000

CaCd2Sn2 | Alexandria | PBE | relaxed; calculated total energy = -2.6125 eV/atom; crystal system = monoclinic; ΔE_f = -0.245 eV/atom; DOS at the Fermi energy = 2.2 states/eV/f.u.; total moment = 0.000 μB/atom
1.0
-1.9775 -3.7888 1.9034
3.1048 -3.1355 -1.5547
3.8826 -1.3505 5.4512
Sn Cd Ca
2 2 1
direct
0.3617 0.3617 0.2130
0.6383 0.6383 0.7870
0.2424 0.7576 0.5000
0.7576 0.2424 0.5000
0.0000 0.0000 0.0000

AcPr5DyY2 | Alexandria | PBE | relaxed; calculated total energy = -4.9232 eV/atom; crystal system = orthorhombic; ΔE_f = 0.136 eV/atom; DOS at the Fermi energy = 11.9 states/eV/f.u.; total moment = 0.000 μB/atom
1.0
-4.8605 1.6398 2.3163
-3.7037 -5.0808 -11.0130
-0.8627 -8.5176 4.2197
Pr Y Dy Ac
10 4 2 2
direct
0.6908 0.3816 0.2229
0.5237 0.0475 0.2529
0.3937 0.7874 0.0301
0.7410 0.4821 0.8624
0.9903 0.9805 0.0353
0.6063 0.2126 0.5301
0.0097 0.0195 0.5353
0.2590 0.5179 0.3624
0.3092 0.6184 0.7229
0.4763 0.9525 0.7529
0.1730 0.3460 0.6773
0.8270 0.6540 0.1773
0.1122 0.2243 0.2797
0.8878 0.7757 0.7797
0.7627 0.5253 0.5358
0.2373 0.4747 0.0358
0.3977 0.7953 0.4275
0.6023 0.2047 0.9275

LiTbFe | Alexandria | PBE | relaxed; calculated total energy = -4.9637 eV/atom; crystal system = trigonal; ΔE_f = 0.039 eV/atom; DOS at the Fermi energy = 2.5 states/eV/f.u.; total moment = 0.384 μB/atom
1.0
1.9528 -3.3824 0.0000
1.9528 3.3824 0.0000
0.0000 0.0000 10.3599
Fe Li Tb
2 2 2
direct
0.6667 0.3333 0.0067
0.3333 0.6667 0.9933
0.3333 0.6667 0.5767
0.6667 0.3333 0.4233
0.0000 0.0000 0.1775
0.0000 0.0000 0.8225

Hg2I3 | Alexandria | PBE | relaxed; calculated total energy = -1.1702 eV/atom; crystal system = trigonal; DOS at the Fermi energy = 3.0 states/eV/f.u.; total moment = 0.000 μB/atom
1.0
-1.5788 3.8311 -6.5277
2.6598 -2.6309 -6.7664
-5.7922 -3.6037 -5.2931
I Hg
6 4
direct
0.7500 0.4274 0.7500
0.0726 0.7500 0.7500
0.2500 0.5726 0.2500
0.4274 0.0726 0.7500
0.9274 0.2500 0.2500
0.5726 0.9274 0.2500
0.8407 0.8407 0.4779
0.1593 0.1593 0.5221
0.6593 0.6593 0.0221
0.3407 0.3407 0.9779

YTeCl3 | Alexandria | PBE | relaxed; calculated total energy = -4.3010 eV/atom; crystal system = cubic; DOS at the Fermi energy = 2.9 states/eV/f.u.; total moment = 0.400 μB/atom
1.0
-2.8168 0.7635 4.4933
3.0663 -3.5906 2.5323
3.3720 3.9028 1.4508
Te Cl Y
1 3 1
direct
0.5000 0.5000 0.5000
0.5000 0.0000 0.0000
0.0000 0.0000 0.5000
0.0000 0.5000 0.0000
0.0000 0.0000 0.0000

FeAgPt2 | Alexandria | PBE | relaxed; calculated total energy = -5.9956 eV/atom; crystal system = trigonal; ΔE_f = -0.147 eV/atom; DOS at the Fermi energy = 2.6 states/eV/f.u.; total moment = 0.902 μB/atom
1.0
-3.9088 -2.1677 -8.1693
-1.2562 -2.6712 -8.8318
-2.7745 -4.6374 -7.5837
Pt Ag Fe
2 1 1
direct
0.0067 0.0067 0.0067
0.4933 0.4933 0.4933
0.2500 0.2500 0.2500
0.7500 0.7500 0.7500

Ti8VGa2 | Alexandria | PBE | relaxed; calculated total energy = -7.2720 eV/atom; crystal system = orthorhombic; ΔE_f = -0.151 eV/atom; DOS at the Fermi energy = 13.4 states/eV/f.u.; total moment = 0.056 μB/atom
1.0
4.6297 0.0000 0.0000
0.0000 6.1722 -0.1876
-2.3148 -2.8924 6.4341
Ti Ga V
8 2 1
direct
0.8296 0.8294 0.6592
0.0000 0.2689 0.9999
0.3662 0.5857 0.7323
0.0000 0.7311 0.0001
0.6338 0.4143 0.2677
0.3661 0.1464 0.7321
0.6339 0.8536 0.2679
0.1704 0.1706 0.3408
0.1905 0.6905 0.3810
0.8095 0.3095 0.6190
0.5000 0.0000 0.0000

Ce3YTm2Sb6 | Alexandria | PBE | relaxed; calculated total energy = -5.9008 eV/atom; crystal system = monoclinic; DOS at the Fermi energy = 20.1 states/eV/f.u.; total moment = 0.202 μB/atom
1.0
-3.9524 5.7617 -3.1804
-2.4206 -7.2368 -0.8386
-1.8135 1.1118 7.3574
Sb Ce Tm Y
6 3 2 1
direct
0.7444 0.7444 0.2406
0.2556 0.2556 0.7594
0.4162 0.0807 0.2418
0.0807 0.4162 0.2418
0.5838 0.9193 0.7582
0.9193 0.5838 0.7582
0.1657 0.8343 0.5000
0.5000 0.5000 0.5000
0.8343 0.1657 0.5000
0.3330 0.6670 0.0000
0.6670 0.3330 0.0000
0.0000 0.0000 0.0000